Version w
Material: KSiGe3
Method: DFT, PBE
State: relaxed

Summary:
Its symmetry is Pm-3m (221).

```
KSiGe3
1.0
5.000 0.000 0.000
0.000 5.000 0.000
0.000 0.000 5.000
K Si Ge
1 1 3
Direct
0.000 0.000 0.000
0.500 0.500 0.500
0.000 0.500 0.500
0.500 0.000 0.500
0.500 0.500 0.000
```

Version x
Material: KSiGe3
Method: DFT, PBE
State: relaxed

Summary:
Its symmetry is Pm-3m (221).

```
KSiGe3
1.0
5.415 0.000 0.000
0.000 5.415 0.000
0.000 0.000 5.415
K Si Ge
1 1 3
Direct
0.000 0.000 0.000
0.500 0.500 0.500
0.000 0.000 0.500
0.000 0.500 0.000
0.500 0.000 0.000
```

Energy relative to the most stable one, in meV per atom: version w 0; version x 1407

Version w
Material: KSnGe3
Method: DFT, PBE
State: relaxed

Summary:
Its symmetry is Pm-3m (221).

```
KSnGe3
1.0
5.461 0.000 0.000
0.000 5.461 0.000
0.000 0.000 5.461
K Sn Ge
1 1 3
Direct
0.000 0.000 0.000
0.500 0.500 0.500
0.000 0.000 0.500
0.000 0.500 0.000
0.500 0.000 0.000
```

Version x
Material: KSnGe3
Method: DFT, PBE
State: relaxed

Summary:
Its symmetry is Pm-3m (221).

```
KSnGe3
1.0
5.452 0.000 0.000
0.000 5.452 0.000
0.000 0.000 5.452
K Sn Ge
1 1 3
Direct
0.000 0.000 0.000
0.500 0.500 0.500
0.000 0.500 0.500
0.500 0.000 0.500
0.500 0.500 0.000
```

Energy relative to the most stable one, in meV per atom: version w 847; version x 0

Version w
Material: KSr3Ge
Method: DFT, PBE
State: relaxed

Summary:
Its symmetry is Pm-3m (221).

```
KSr3Ge
1.0
6.312 0.000 0.000
0.000 6.312 0.000
0.000 0.000 6.312
K Sr Ge
1 3 1
Direct
0.000 0.000 0.000
0.000 0.500 0.500
0.500 0.000 0.500
0.500 0.500 0.000
0.500 0.500 0.500
```

Version x
Material: KSr3Ge
Method: DFT, PBE
State: relaxed

Summary:
Its symmetry is Pm-3m (221).

```
KSr3Ge
1.0
6.453 0.000 0.000
0.000 6.453 0.000
0.000 0.000 6.453
K Sr Ge
1 3 1
Direct
0.000 0.000 0.000
0.000 0.000 0.500
0.000 0.500 0.000
0.500 0.000 0.000
0.500 0.500 0.500
```

Energy relative to the most stable one, in meV per atom: version w 0; version x 1166

Version w
Material: KSrGe3
Method: DFT, PBE
State: relaxed

Summary:
Its symmetry is Pm-3m (221).

```
KSrGe3
1.0
5.814 0.000 0.000
0.000 5.814 0.000
0.000 0.000 5.814
K Sr Ge
1 1 3
Direct
0.000 0.000 0.000
0.500 0.500 0.500
0.000 0.500 0.500
0.500 0.000 0.500
0.500 0.500 0.000
```

Version x
Material: KSrGe3
Method: DFT, PBE
State: relaxed

Summary:
Its symmetry is Pm-3m (221).

```
KSrGe3
1.0
5.499 0.000 0.000
0.000 5.499 0.000
0.000 0.000 5.499
K Sr Ge
1 1 3
Direct
0.000 0.000 0.000
0.500 0.500 0.500
0.000 0.000 0.500
0.000 0.500 0.000
0.500 0.000 0.000
```

Energy relative to the most stable one, in meV per atom: version w 0; version x 121

Version w
Material: KSrGe2
Method: DFT, PBE
State: relaxed

Summary:
Its symmetry is Fm-3m (225).

```
KSrGe2
1.0
7.764 0.000 0.000
0.000 7.764 0.000
0.000 0.000 7.764
K Sr Ge
4 4 8
Direct
0.000 0.000 0.000
0.000 0.500 0.500
0.500 0.000 0.500
0.500 0.500 0.000
0.000 0.000 0.500
0.000 0.500 0.000
0.500 0.000 0.000
0.500 0.500 0.500
0.250 0.250 0.250
0.250 0.250 0.750
0.250 0.750 0.250
0.250 0.750 0.750
0.750 0.250 0.250
0.750 0.250 0.750
0.750 0.750 0.250
0.750 0.750 0.750
```

Version x
Material: KSrGe2
Method: DFT, PBE
State: relaxed

Summary:
Its symmetry is I-42d (122).

```
KSrGe2
1.0
8.952 0.000 0.000
0.000 8.952 0.000
0.000 0.000 6.059
K Sr Ge
4 4 8
Direct
0.000 0.000 0.000
0.000 0.500 0.250
0.500 0.000 0.750
0.500 0.500 0.500
0.000 0.000 0.500
0.000 0.500 0.750
0.500 0.000 0.250
0.500 0.500 0.000
0.244 0.250 0.625
0.250 0.744 0.875
0.250 0.756 0.375
0.256 0.250 0.125
0.744 0.750 0.125
0.750 0.244 0.375
0.750 0.256 0.875
0.756 0.750 0.625
```

Energy relative to the most stable one, in meV per atom: version w 0; version x 252

Version w
Material: KTc3Ge
Method: DFT, PBE
State: relaxed

Summary:
Its symmetry is Pm-3m (221).

```
KTc3Ge
1.0
4.777 0.000 0.000
0.000 4.777 0.000
0.000 0.000 4.777
K Tc Ge
1 3 1
Direct
0.000 0.000 0.000
0.000 0.500 0.500
0.500 0.000 0.500
0.500 0.500 0.000
0.500 0.500 0.500
```

Version x
Material: KTc3Ge
Method: DFT, PBE
State: relaxed

Summary:
Its symmetry is Pm-3m (221).

```
KTc3Ge
1.0
4.598 0.000 0.000
0.000 4.598 0.000
0.000 0.000 4.598
K Tc Ge
1 3 1
Direct
0.000 0.000 0.000
0.000 0.000 0.500
0.000 0.500 0.000
0.500 0.000 0.000
0.500 0.500 0.500
```

Energy relative to the most stable one, in meV per atom: version w 0; version x 1565

Version w
Material: KGe2Te2
Method: DFT, PBE
State: relaxed

Summary:
Its symmetry is I4/mmm (139).

```
KGe2Te2
1.0
5.606 0.000 0.000
0.000 5.606 0.000
0.000 0.000 9.854
K Ge Te
2 4 4
Direct
0.000 0.000 0.000
0.500 0.500 0.500
0.000 0.000 0.355
0.000 0.000 0.645
0.500 0.500 0.145
0.500 0.500 0.855
0.000 0.500 0.250
0.000 0.500 0.750
0.500 0.000 0.250
0.500 0.000 0.750
```

Version x
Material: KGe2Te2
Method: DFT, PBE
State: relaxed

Summary:
Its symmetry is P4/mbm (127).

```
KGe2Te2
1.0
8.604 0.000 0.000
0.000 8.604 0.000
0.000 0.000 4.001
K Ge Te
2 4 4
Direct
0.000 0.000 0.000
0.500 0.500 0.000
0.105 0.395 0.000
0.395 0.895 0.000
0.605 0.105 0.000
0.895 0.605 0.000
0.168 0.668 0.500
0.332 0.168 0.500
0.668 0.832 0.500
0.832 0.332 0.500
```

Energy relative to the most stable one, in meV per atom: version w 0; version x 128

Version w
Material: KGe2Te3
Method: DFT, PBE
State: relaxed

Summary:
Its symmetry is Pmmn (59).

```
KGe2Te3
1.0
5.438 0.000 0.000
0.000 14.796 0.000
0.000 0.000 5.437
K Ge Te
2 4 6
Direct
0.250 0.250 0.249
0.750 0.750 0.751
0.250 0.565 0.250
0.250 0.935 0.250
0.750 0.065 0.750
0.750 0.435 0.750
0.250 0.000 0.750
0.250 0.500 0.750
0.250 0.750 0.251
0.750 0.000 0.250
0.750 0.250 0.749
0.750 0.500 0.250
```

Version x
Material: KGe2Te3
Method: DFT, PBE
State: relaxed

Summary:
Its symmetry is Cmcm (63).

```
KGe2Te3
1.0
5.569 -5.851 0.000
5.569 5.851 0.000
0.000 0.000 6.808
K Ge Te
2 4 6
Direct
0.148 0.852 0.750
0.852 0.148 0.250
0.344 0.344 0.000
0.344 0.344 0.500
0.656 0.656 0.000
0.656 0.656 0.500
0.077 0.329 0.750
0.329 0.077 0.250
0.355 0.645 0.250
0.645 0.355 0.750
0.671 0.923 0.750
0.923 0.671 0.250
```

Energy relative to the most stable one, in meV per atom: version w 0; version x 45

Version w
Material: KTiGe2
Method: DFT, PBE
State: relaxed

Summary:
Its symmetry is Fm-3m (225).

```
KTiGe2
1.0
6.976 0.000 0.000
0.000 6.976 0.000
0.000 0.000 6.976
K Ti Ge
4 4 8
Direct
0.000 0.000 0.000
0.000 0.500 0.500
0.500 0.000 0.500
0.500 0.500 0.000
0.000 0.000 0.500
0.000 0.500 0.000
0.500 0.000 0.000
0.500 0.500 0.500
0.250 0.250 0.250
0.250 0.250 0.750
0.250 0.750 0.250
0.250 0.750 0.750
0.750 0.250 0.250
0.750 0.250 0.750
0.750 0.750 0.250
0.750 0.750 0.750
```

Version x
Material: KTiGe2
Method: DFT, PBE
State: relaxed

Summary:
Its symmetry is I-42d (122).

```
KTiGe2
1.0
5.659 0.000 0.000
0.000 5.659 0.000
0.000 0.000 16.563
K Ti Ge
4 4 8
Direct
0.000 0.000 0.000
0.000 0.500 0.250
0.500 0.000 0.750
0.500 0.500 0.500
0.000 0.000 0.500
0.000 0.500 0.750
0.500 0.000 0.250
0.500 0.500 0.000
0.008 0.250 0.625
0.250 0.508 0.875
0.250 0.992 0.375
0.492 0.250 0.125
0.508 0.750 0.125
0.750 0.008 0.375
0.750 0.492 0.875
0.992 0.750 0.625
```

Energy relative to the most stable one, in meV per atom: version w 215; version x 0

Version w
Material: KTi3Ge
Method: DFT, PBE
State: relaxed

Summary:
Its symmetry is Pm-3m (221).

```
KTi3Ge
1.0
4.993 0.000 0.000
0.000 4.993 0.000
0.000 0.000 4.993
K Ti Ge
1 3 1
Direct
0.000 0.000 0.000
0.000 0.500 0.500
0.500 0.000 0.500
0.500 0.500 0.000
0.500 0.500 0.500
```

Version x
Material: KTi3Ge
Method: DFT, PBE
State: relaxed

Summary:
Its symmetry is Pm-3m (221).

```
KTi3Ge
1.0
4.495 0.000 0.000
0.000 4.495 0.000
0.000 0.000 4.495
K Ti Ge
1 3 1
Direct
0.000 0.000 0.000
0.000 0.000 0.500
0.000 0.500 0.000
0.500 0.000 0.000
0.500 0.500 0.500
```

Energy relative to the most stable one, in meV per atom: version w 0; version x 1091

Version w
Material: KTl2Ge
Method: DFT, PBE
State: relaxed

Summary:
Its symmetry is P4/mmm (123).

```
KTl2Ge
1.0
3.834 0.000 0.000
0.000 3.834 0.000
0.000 0.000 8.245
K Tl Ge
1 2 1
Direct
0.000 0.000 0.000
0.500 0.500 0.301
0.500 0.500 0.699
0.000 0.000 0.500
```

Version x
Material: KTl2Ge
Method: DFT, PBE
State: relaxed

Summary:
Its symmetry is I-42d (122).

```
KTl2Ge
1.0
8.923 0.000 0.000
0.000 8.923 0.000
0.000 0.000 6.761
K Tl Ge
4 8 4
Direct
0.000 0.000 0.000
0.000 0.500 0.250
0.500 0.000 0.750
0.500 0.500 0.500
0.180 0.250 0.625
0.250 0.680 0.875
0.250 0.820 0.375
0.320 0.250 0.125
0.680 0.750 0.125
0.750 0.180 0.375
0.750 0.320 0.875
0.820 0.750 0.625
0.000 0.000 0.500
0.000 0.500 0.750
0.500 0.000 0.250
0.500 0.500 0.000
```

Version y
Material: KTl2Ge
Method: DFT, PBE
State: relaxed

Summary:
Its symmetry is R3m (160).

```
KTl2Ge
1.0
4.747 0.000 0.000
-2.374 4.111 0.000
0.000 0.000 20.895
K Tl Ge
3 6 3
Direct
0.000 0.000 0.000
0.333 0.667 0.667
0.667 0.333 0.333
0.000 0.000 0.562
0.000 0.000 0.781
0.333 0.667 0.229
0.333 0.667 0.448
0.667 0.333 0.115
0.667 0.333 0.895
0.000 0.000 0.178
0.333 0.667 0.845
0.667 0.333 0.512
```

Energy relative to the most stable one, in meV per atom: version w 13; version x 76; version y 0

Version w
Material: KTl2Ge
Method: DFT, PBE
State: relaxed

Summary:
Its symmetry is R-3m (166).

```
KTl2Ge
1.0
4.705 0.000 0.000
-2.352 4.074 0.000
0.000 0.000 21.068
K Tl Ge
3 6 3
Direct
0.000 0.000 0.000
0.333 0.667 0.667
0.667 0.333 0.333
0.000 0.000 0.224
0.000 0.000 0.776
0.333 0.667 0.442
0.333 0.667 0.891
0.667 0.333 0.109
0.667 0.333 0.558
0.000 0.000 0.500
0.333 0.667 0.167
0.667 0.333 0.833
```

Version x
Material: KTl2Ge
Method: DFT, PBE
State: relaxed

Summary:
Its symmetry is Fm-3m (225).

```
KTl2Ge
1.0
7.764 0.000 0.000
0.000 7.764 0.000
0.000 0.000 7.764
K Tl Ge
4 8 4
Direct
0.000 0.000 0.000
0.000 0.500 0.500
0.500 0.000 0.500
0.500 0.500 0.000
0.250 0.250 0.250
0.250 0.250 0.750
0.250 0.750 0.250
0.250 0.750 0.750
0.750 0.250 0.250
0.750 0.250 0.750
0.750 0.750 0.250
0.750 0.750 0.750
0.000 0.000 0.500
0.000 0.500 0.000
0.500 0.000 0.000
0.500 0.500 0.500
```

Energy relative to the most stable one, in meV per atom: version w 0; version x 72